First-principles (GGA-PBE) data for a relaxed LaNb2BRu crystal, as listed in Alexandria via LeMat-Bulk.

POSCAR file:
```
LaNb2BRu
1.0
4.697 0.000 0.000
0.000 4.059 0.000
0.000 0.000 4.697
Ru Nb B La
1 2 1 1
direct
0.000 0.500 0.000 Ru
0.000 0.000 0.500 Nb
0.500 0.000 0.000 Nb
0.000 0.000 0.000 B
0.500 0.500 0.500 La
```

Results
Space group: P4/mmm, No. 123
Final energy, eV per atom: -8.05
E_form, eV per formula unit: 0.8
Total magnetic moment, μB/f.u.: 0.0

***

First-principles (GGA-PBE) data for a relaxed La2Al4Zn3Cd crystal, as listed in Alexandria via LeMat-Bulk.

POSCAR file:
```
La2Al4Zn3Cd
1.0
4.369 0.000 0.000
0.000 4.369 0.000
0.000 0.000 10.951
La Al Zn Cd
2 4 3 1
direct
0.500 0.000 0.244 La
0.000 0.500 0.756 La
0.500 0.500 0.000 Al
0.000 0.000 0.000 Al
0.500 0.000 0.642 Al
0.000 0.500 0.358 Al
0.000 0.000 0.500 Zn
0.500 0.000 0.869 Zn
0.000 0.500 0.131 Zn
0.500 0.500 0.500 Cd
```

Results
Space group: P-4m2, No. 115
Final energy, eV per atom: -3.36
E_form, eV per formula unit: -4.1
Total magnetic moment, μB/f.u.: 0.0

***

First-principles (GGA-PBE) data for a relaxed TlRuIO2 crystal, as listed in Alexandria via LeMat-Bulk.

POSCAR file:
```
TlRuIO2
1.0
4.095 0.000 0.000
0.000 4.095 0.000
0.000 0.000 6.962
I Ru Tl O
1 1 1 2
direct
0.000 0.000 0.500 I
0.500 0.500 0.500 Ru
0.000 0.000 0.000 Tl
0.000 0.500 0.000 O
0.500 0.000 0.000 O
```

Results
Space group: P4/mmm, No. 123
E_form (uncorrected), eV per formula unit: 3.75
Final energy, eV per atom: -3.87
Total magnetic moment, μB/f.u.: 2.9
ΔE to the lowest computed polymorph, meV per atom: 861

***

First-principles (GGA-PBE) data for a relaxed TaMnCu2 crystal, as listed in Alexandria via LeMat-Bulk.

POSCAR file:
```
TaMnCu2
1.0
-3.614 1.117 -2.920
-3.982 -2.552 0.679
2.967 2.469 2.818
Cu Mn Ta
2 1 1
direct
0.000 0.000 0.000 Cu
0.500 0.500 0.000 Cu
0.750 0.250 0.500 Mn
0.250 0.750 0.500 Ta
```

Results
Space group: I4/mmm, No. 139
Final energy, eV per atom: -7.21
E_form, eV per formula unit: 0.4
Total magnetic moment, μB/f.u.: 1.2
ΔE to the lowest computed polymorph, meV per atom: 0

***

First-principles (GGA-PBE) data for a relaxed Rb2NbPd crystal, as listed in Alexandria via LeMat-Bulk.

POSCAR file:
```
Rb2NbPd
1.0
4.150 -2.261 3.424
-1.350 -4.165 3.859
1.827 -5.475 -0.858
Nb Rb Pd
1 2 1
direct
0.000 0.000 0.000 Nb
0.250 0.250 0.250 Rb
0.750 0.750 0.750 Rb
0.500 0.500 0.500 Pd
```

Results
Space group: Fm-3m, No. 225
Final energy, eV per atom: -2.92
E_form, eV per formula unit: 5.5
Total magnetic moment, μB/f.u.: 5.0
ΔE to the lowest computed polymorph, meV per atom: 425

***

First-principles (GGA-PBE) data for a relaxed TbZnSi2Pd5 crystal, as listed in Alexandria via LeMat-Bulk.

POSCAR file:
```
TbZnSi2Pd5
1.0
-0.240 2.239 4.032
-4.609 0.014 -0.282
-0.232 -6.285 3.477
Tb Zn Si Pd
1 1 2 5
direct
0.000 0.000 0.500 Tb
0.000 0.000 0.000 Zn
0.500 0.500 0.157 Si
0.500 0.500 0.843 Si
0.000 0.500 0.239 Pd
0.500 0.000 0.239 Pd
0.000 0.500 0.761 Pd
0.500 0.000 0.761 Pd
0.500 0.500 0.500 Pd
```

Results
Space group: P4/mmm, No. 123
E_form (uncorrected), eV per formula unit: -5.27
Final energy, eV per atom: -5.33
Total magnetic moment, μB/f.u.: 0.0

***

Q: total magnetic moment of number 5 (Rb2NbPd)?
A: 5.0 μB/f.u.

***

Q: Which of these has the lowest final energy?
A: LaNb2BRu

***

Repeat the fifth record exactly.
First-principles (GGA-PBE) data for a relaxed Rb2NbPd crystal, as listed in Alexandria via LeMat-Bulk.

POSCAR file:
```
Rb2NbPd
1.0
4.150 -2.261 3.424
-1.350 -4.165 3.859
1.827 -5.475 -0.858
Nb Rb Pd
1 2 1
direct
0.000 0.000 0.000 Nb
0.250 0.250 0.250 Rb
0.750 0.750 0.750 Rb
0.500 0.500 0.500 Pd
```

Results
Space group: Fm-3m, No. 225
Final energy, eV per atom: -2.92
E_form, eV per formula unit: 5.5
Total magnetic moment, μB/f.u.: 5.0
ΔE to the lowest computed polymorph, meV per atom: 425